The following is a PBE-GGA calculation of a geometry-optimized BaPmTlPb structure, from the Alexandria database.

a = 8.2013 Å, b = 8.2013 Å, c = 8.2013 Å
α = 90.00°, β = 90.00°, γ = 90.00°
With the nearest neighbours (Å) after each atom.
Space group F-43m (No. 216)
Inequivalent atoms, fractional coordinates:
Ba 0.0000 0.0000 0.0000 x4  4 Tl 3.55, 4 Pb 3.55
Pm 0.0000 0.0000 0.5000 x4  4 Tl 3.55, 4 Pb 3.55
Tl 0.2500 0.2500 0.2500 x4  4 Ba 3.55, 4 Pm 3.55
Pb 0.2500 0.2500 0.7500 x4  4 Ba 3.55, 4 Pm 3.55

Properties
For the total magnetization, the calculation gives 0.00 Bohr magnetons per cell. The value obtained for the formation energy from the elements is -0.36 eV per atom. For the density of states at the Fermi level, the calculation gives 0.906 states/eV per atom.